The following is a DFT calculation (PBE with a Hubbard U) of an optimized crystal structure of LiMnPO4. Values from VASP.

Cell and atoms, written as Quantum ESPRESSO input:
```
&SYSTEM
  ibrav = 0, nat = 28, ntyp = 4
/
ATOMIC_SPECIES
Li 6.94 Li.upf
Mn 54.94 Mn.upf
P 30.97 P.upf
O 16.00 O.upf
ATOMIC_POSITIONS crystal
Li 0.174 0.046 0.000
Li 0.326 0.546 0.500
Li 0.674 0.454 0.000
Li 0.826 0.954 0.500
Mn 0.081 0.302 0.494
Mn 0.419 0.802 0.994
Mn 0.581 0.198 0.494
Mn 0.919 0.698 0.994
P 0.172 0.551 0.003
P 0.328 0.051 0.503
P 0.672 0.949 0.003
P 0.828 0.449 0.503
O 0.095 0.753 0.937
O 0.110 0.345 0.893
O 0.181 0.530 0.302
O 0.205 0.072 0.381
O 0.295 0.572 0.881
O 0.319 0.030 0.802
O 0.390 0.845 0.393
O 0.405 0.253 0.437
O 0.595 0.747 0.937
O 0.610 0.155 0.893
O 0.681 0.970 0.302
O 0.705 0.428 0.381
O 0.795 0.928 0.881
O 0.819 0.470 0.802
O 0.890 0.655 0.393
O 0.905 0.247 0.437
CELL_PARAMETERS angstrom
11.449 0.000 0.000
0.000 6.206 0.000
0.000 0.000 5.159
```

Values from the calculation:
E above lowest polymorph (eV/f.u.): 0.38
Calculated density (g/cm3): 2.84